## Na2TmCd5 (PBE-GGA)

Data for a geometry-optimized Na2TmCd5 structure.

Calculated values
**DFT total energy**: -1.589 eV/atom

Unit cell a=4.5812 b=4.5812 c=9.9150 alpha=103.36 beta=103.36 gamma=90.00
Atoms (fractional coordinates):
Tm 0.0000 0.0000 0.0000
Cd 0.5000 0.5000 0.0000
Na 0.7519 0.7519 0.5039
Cd 0.8786 0.3786 0.7572
Cd 0.6214 0.1214 0.2428
Cd 0.3786 0.8786 0.7572
Na 0.2481 0.2481 0.4961
Cd 0.1214 0.6214 0.2428

=====

## NaTmZnCd (PBE-GGA)

Data for a geometry-optimized NaTmZnCd structure.

Calculated values
**DFT total energy**: -2.059 eV/atom

Unit cell a=5.0709 b=5.0709 c=5.0709 alpha=60.00 beta=60.00 gamma=60.00
Atoms (fractional coordinates):
Zn 0.2500 0.2500 0.2500
Na 0.0000 0.0000 0.0000
Tm 0.5000 0.5000 0.5000
Cd 0.7500 0.7500 0.7500

=====

## NaVCd3 (PBE-GGA)

Data for a geometry-optimized NaVCd3 structure.

Calculated values
**E above lowest polymorph**: 0.00 kcal/mol of atoms

Unit cell a=5.3749 b=5.3749 c=5.3749 alpha=90.00 beta=90.00 gamma=90.00
Atoms (fractional coordinates):
V 0.0000 0.0000 0.0000
Na 0.5000 0.5000 0.5000
Cd 0.0000 0.0000 0.5000
Cd 0.5000 0.0000 0.0000
Cd 0.0000 0.5000 0.0000

=====

## NaV3Cd (PBE-GGA)

Data for a geometry-optimized NaV3Cd structure.

Calculated values
**E above lowest polymorph**: 9.22 kcal/mol of atoms

Unit cell a=4.5188 b=4.5188 c=4.5188 alpha=90.00 beta=90.00 gamma=90.00
Atoms (fractional coordinates):
Cd 0.5000 0.5000 0.5000
V 0.5000 0.0000 0.0000
V 0.0000 0.5000 0.0000
V 0.0000 0.0000 0.5000
Na 0.0000 0.0000 0.0000

=====

## NaV3Cd (PBE-GGA)

Data for a geometry-optimized NaV3Cd structure.

Calculated values
**E above lowest polymorph**: 0.00 kcal/mol of atoms

Unit cell a=5.1887 b=5.1887 c=5.1887 alpha=90.00 beta=90.00 gamma=90.00
Atoms (fractional coordinates):
V 0.0000 0.5000 0.0000
V 0.5000 0.0000 0.0000
V 0.0000 0.0000 0.5000
Cd 0.0000 0.0000 0.0000
Na 0.5000 0.5000 0.5000

=====

## NaZrVCd2 (PBE-GGA)

Data for a geometry-optimized NaZrVCd2 structure.

Calculated values
**DFT total energy**: -3.629 eV/atom

Unit cell a=5.3346 b=4.6190 c=5.3346 alpha=90.00 beta=90.00 gamma=90.00
Atoms (fractional coordinates):
Zr 0.0000 0.5000 0.0000
Na 0.5000 0.5000 0.5000
Cd 0.0000 0.0000 0.5000
V 0.0000 0.0000 0.0000
Cd 0.5000 0.0000 0.0000

=====

## Na3CdW (PBE-GGA)

Data for a geometry-optimized Na3CdW structure.

Calculated values
**E above lowest polymorph**: 0.00 kcal/mol of atoms

Unit cell a=5.5927 b=5.5927 c=5.5927 alpha=90.00 beta=90.00 gamma=90.00
Atoms (fractional coordinates):
W 0.5000 0.5000 0.5000
Na 0.0000 0.0000 0.5000
Cd 0.0000 0.0000 0.0000
Na 0.5000 0.0000 0.0000
Na 0.0000 0.5000 0.0000

=====

## NaCdW3 (PBE-GGA)

Data for a geometry-optimized NaCdW3 structure.

Calculated values
**E above lowest polymorph**: 0.00 kcal/mol of atoms

Unit cell a=4.5682 b=4.5682 c=4.5682 alpha=90.00 beta=90.00 gamma=90.00
Atoms (fractional coordinates):
Na 0.0000 0.0000 0.0000
W 0.0000 0.0000 0.5000
Cd 0.5000 0.5000 0.5000
W 0.0000 0.5000 0.0000
W 0.5000 0.0000 0.0000

=====

## Na2CdW (PBE-GGA)

Data for a geometry-optimized Na2CdW structure.

Calculated values
**DFT total energy**: -2.792 eV/atom

Unit cell a=8.4768 b=8.4768 c=6.6534 alpha=50.43 beta=50.43 gamma=90.00
Atoms (fractional coordinates):
Cd 0.2500 0.7500 0.5000
Na 0.3750 0.3894 0.7500
Na 0.6106 0.1250 0.2500
Cd 0.5000 0.5000 0.0000
Na 0.8750 0.8606 0.7500
W 0.7500 0.2500 0.5000
W 0.0000 0.0000 0.0000
Na 0.1394 0.6250 0.2500

=====

## Na3CdW (PBE-GGA)

Data for a geometry-optimized Na3CdW structure.

Calculated values
**E above lowest polymorph**: 0.20 kcal/mol of atoms

Unit cell a=5.9752 b=5.9752 c=5.9752 alpha=90.00 beta=90.00 gamma=90.00
Atoms (fractional coordinates):
Na 0.5000 0.0000 0.0000
W 0.0000 0.0000 0.0000
Cd 0.5000 0.5000 0.5000
Na 0.0000 0.0000 0.5000
Na 0.0000 0.5000 0.0000

=====

## NaCd2W (PBE-GGA)

Data for a geometry-optimized NaCd2W structure.

Calculated values
**E above lowest polymorph**: 9.96 kcal/mol of atoms

Unit cell a=4.3875 b=4.3875 c=10.4179 alpha=77.84 beta=77.84 gamma=90.00
Atoms (fractional coordinates):
Cd 0.8750 0.8922 0.7500
W 0.0000 0.0000 0.0000
Cd 0.6422 0.1250 0.2500
W 0.7500 0.2500 0.5000
Cd 0.3750 0.3578 0.7500
Cd 0.1078 0.6250 0.2500
Na 0.2500 0.7500 0.5000
Na 0.5000 0.5000 0.0000

=====

## NaCd2W (PBE-GGA)

Data for a geometry-optimized NaCd2W structure.

Calculated values
**E above lowest polymorph**: 0.00 kcal/mol of atoms

Unit cell a=4.8754 b=4.8754 c=4.8754 alpha=60.00 beta=60.00 gamma=60.00
Atoms (fractional coordinates):
Na 0.0000 0.0000 0.0000
Cd 0.2500 0.2500 0.2500
Cd 0.7500 0.7500 0.7500
W 0.5000 0.5000 0.5000

=====

## NaCdW3 (PBE-GGA)

Data for a geometry-optimized NaCdW3 structure.

Calculated values
**E above lowest polymorph**: 2.80 kcal/mol of atoms

Unit cell a=4.9509 b=4.9509 c=4.9509 alpha=90.00 beta=90.00 gamma=90.00
Atoms (fractional coordinates):
Cd 0.0000 0.0000 0.0000
W 0.0000 0.5000 0.0000
W 0.5000 0.0000 0.0000
Na 0.5000 0.5000 0.5000
W 0.0000 0.0000 0.5000

=====

## NaZn2CdW (PBE-GGA)

Data for a geometry-optimized NaZn2CdW structure.

Calculated values
**DFT total energy**: -1.821 eV/atom

Unit cell a=4.6540 b=5.0035 c=4.6540 alpha=90.00 beta=90.00 gamma=90.00
Atoms (fractional coordinates):
Na 0.0000 0.0000 0.0000
Zn 0.5000 0.0000 0.0000
W 0.0000 0.5000 0.0000
Cd 0.5000 0.5000 0.5000
Zn 0.0000 0.0000 0.5000

=====

## Na2ZrCdW (PBE-GGA)

Data for a geometry-optimized Na2ZrCdW structure.

Calculated values
**DFT total energy**: -3.712 eV/atom

Unit cell a=5.6546 b=4.9228 c=5.6546 alpha=90.00 beta=90.00 gamma=90.00
Atoms (fractional coordinates):
W 0.0000 0.0000 0.0000
Na 0.0000 0.0000 0.5000
Na 0.5000 0.0000 0.0000
Cd 0.5000 0.5000 0.5000
Zr 0.0000 0.5000 0.0000

=====

## NaY3Cd4 (PBE-GGA)

Data for a geometry-optimized NaY3Cd4 structure.

Calculated values
**DFT total energy**: -3.317 eV/atom

Unit cell a=3.7237 b=3.7237 c=15.2250 alpha=90.00 beta=90.00 gamma=90.00
Atoms (fractional coordinates):
Cd 0.0000 0.0000 0.3766
Y 0.5000 0.5000 0.5000
Y 0.5000 0.5000 0.2515
Y 0.5000 0.5000 0.7485
Cd 0.0000 0.0000 0.6234
Cd 0.0000 0.0000 0.1295
Cd 0.0000 0.0000 0.8705
Na 0.5000 0.5000 0.0000

=====

## NaY2Cd2 (PBE-GGA)

Data for a geometry-optimized NaY2Cd2 structure.

Calculated values
**E above lowest polymorph**: 0.00 kcal/mol of atoms

Unit cell a=8.6134 b=8.6134 c=3.8463 alpha=90.00 beta=90.00 gamma=90.00
Atoms (fractional coordinates):
Na 0.5000 0.5000 0.0000
Na 0.0000 0.0000 0.0000
Y 0.6558 0.8442 0.5000
Cd 0.1384 0.3616 0.0000
Y 0.1558 0.6558 0.5000
Cd 0.6384 0.1384 0.0000
Cd 0.8616 0.6384 0.0000
Cd 0.3616 0.8616 0.0000
Y 0.8442 0.3442 0.5000
Y 0.3442 0.1558 0.5000

=====

## NaY3Cd (PBE-GGA)

Data for a geometry-optimized NaY3Cd structure.

Calculated values
**DFT total energy**: -3.500 eV/atom

Unit cell a=5.5309 b=5.5309 c=5.5309 alpha=90.00 beta=90.00 gamma=90.00
Atoms (fractional coordinates):
Na 0.0000 0.0000 0.0000
Cd 0.5000 0.5000 0.5000
Y 0.0000 0.0000 0.5000
Y 0.0000 0.5000 0.0000
Y 0.5000 0.0000 0.0000

=====

## NaY2Cd2 (PBE-GGA)

Data for a geometry-optimized NaY2Cd2 structure.

Calculated values
**E above lowest polymorph**: 4.66 kcal/mol of atoms

Unit cell a=4.6196 b=4.6196 c=7.9940 alpha=73.21 beta=73.21 gamma=90.00
Atoms (fractional coordinates):
Cd 0.5965 0.5965 0.8069
Cd 0.4035 0.4035 0.1931
Y 0.2500 0.7500 0.5000
Y 0.7500 0.2500 0.5000
Na 0.0000 0.0000 0.0000

=====

## NaY4Cd5 (PBE-GGA)

Data for a geometry-optimized NaY4Cd5 structure.

Calculated values
**DFT total energy**: -3.461 eV/atom

Unit cell a=3.7342 b=3.7342 c=18.9376 alpha=90.00 beta=90.00 gamma=90.00
Atoms (fractional coordinates):
Cd 0.5000 0.5000 0.3018
Y 0.0000 0.0000 0.7986
Y 0.0000 0.0000 0.2014
Y 0.0000 0.0000 0.5991
Y 0.0000 0.0000 0.4009
Cd 0.5000 0.5000 0.5000
Cd 0.5000 0.5000 0.1043
Cd 0.5000 0.5000 0.8957
Na 0.0000 0.0000 0.0000
Cd 0.5000 0.5000 0.6982

=====

V
In order: 24.58 23.05 31.06 18.45 27.94 26.29 34.99 19.07 25.94 42.67 23.93 20.49 24.27 21.67 31.48 26.39 28.54 33.84 31.14 26.41
Unit: Å³ per atom